# La4Pr4Dy3 (PBE, optimized geometry)
data_La4Pr4Dy3
_cell_length_a 10.8921
_cell_length_b 5.8510
_cell_length_c 12.2499
_cell_angle_alpha 90.00
_cell_angle_beta 90.00
_cell_angle_gamma 90.00
_space_group_name_H-M_alt 'A m m 2'
_space_group_IT_number 38
loop_
_space_group_symop_operation_xyz
'x,y,z'
'-x,-y,z'
'-x,y,z'
'x,-y,z'
'x,y+1/2,z+1/2'
'-x,-y+1/2,z+1/2'
'-x,y+1/2,z+1/2'
'x,-y+1/2,z+1/2'
loop_
_atom_site_label
_atom_site_fract_x
_atom_site_fract_y
_atom_site_fract_z
_atom_site_occupancy
La1 0.0000 0.0000 0.0000 1
La2 0.1975 0.0000 0.8036 1
La3 0.5000 0.0000 0.9363 1
Pr1 0.0000 0.0000 0.5869 1
Pr2 0.3020 0.0000 0.1513 1
Pr3 0.5000 0.0000 0.6598 1
Dy1 0.0000 0.0000 0.2969 1
Dy2 0.2909 0.0000 0.4546 1
# Distance to the lowest polymorph of the same formula = 14 meV per atom
# Calculated volume = 35.49 A^3/atom
# DOS at the Fermi energy = 38.449 states/eV/cell
# Magnetic moment = 0.00 μB per formula unit
# Formation energy = 129 meV/atom
# VASP energy = -102.44 eV for the cell shown